1.
8
Lattice="0.000 5.299 5.299 5.299 0.000 5.299 5.299 5.299 0.000" Properties=species:S:1:pos:R:3 comment="AuI6O, relaxed, DFT GGA-PBE" volume_a3_per_atom=37.19 dft_energy_ev_per_atom=-1.524 space_group="No. 216" pbc="T T T"
Au 0.000 0.000 0.000
I 5.299 5.299 2.760
I 5.299 2.760 5.299
I 7.837 5.299 5.299
I 2.760 5.299 5.299
I 5.299 7.837 5.299
I 5.299 5.299 7.837
O 7.948 7.948 7.948

2.
42
Lattice="0.000 6.727 6.727 6.727 0.000 6.727 6.727 6.727 0.000" Properties=species:S:1:pos:R:3 comment="Ba3Lu2Zn5O11, relaxed, DFT GGA-PBE" volume_a3_per_atom=14.50 dft_energy_ev_per_atom=-5.902 space_group="No. 216" pbc="T T T"
Ba 6.727 6.727 2.761
Ba 6.727 2.761 6.727
Ba 10.693 6.727 6.727
Ba 2.761 6.727 6.727
Ba 6.727 10.693 6.727
Ba 6.727 6.727 10.693
Lu 8.938 4.517 4.517
Lu 4.517 8.938 4.517
Lu 4.517 4.517 8.938
Lu 8.938 8.938 8.938
Zn 3.364 3.364 1.115
Zn 3.364 1.115 3.364
Zn 5.612 3.364 3.364
Zn 5.600 5.600 5.600
Zn 7.855 7.855 5.600
Zn 7.855 5.600 7.855
Zn 1.115 3.364 3.364
Zn 3.364 5.612 3.364
Zn 3.364 3.364 5.612
Zn 5.600 7.855 7.855
O 0.000 0.000 0.000
O 2.114 2.114 2.114
O 4.614 4.614 2.114
O 4.614 2.114 4.614
O 6.754 4.494 4.494
O 8.961 6.701 4.494
O 8.961 4.494 6.701
O 6.727 6.727 6.727
O 4.494 6.754 4.494
O 6.701 8.961 4.494
O 4.494 4.494 6.754
O 8.961 8.961 6.754
O 6.701 4.494 8.961
O 8.961 6.754 8.961
O 11.179 9.003 9.003
O 2.114 4.614 4.614
O 4.494 8.961 6.701
O 4.494 6.701 8.961
O 6.754 8.961 8.961
O 9.003 11.179 9.003
O 9.003 9.003 11.179
O 11.179 11.179 11.179

3.
8
Lattice="3.236 0.000 0.000 0.000 4.704 0.000 0.000 0.000 9.461" Properties=species:S:1:pos:R:3 comment="ZrTc, relaxed, DFT GGA-PBE" volume_a3_per_atom=18.00 e_form_kj_per_mol_atoms=-8 space_group="No. 59" pbc="T T T"
Zr 0.809 1.176 0.183
Zr 0.809 3.528 2.532
Zr 2.427 1.176 6.929
Zr 2.427 3.528 9.278
Tc 0.809 1.176 4.642
Tc 0.809 3.528 6.885
Tc 2.427 1.176 2.576
Tc 2.427 3.528 4.820

4.
16
Lattice="6.589 0.000 0.000 0.000 6.589 0.000 0.000 0.000 6.589" Properties=species:S:1:pos:R:3 comment="HfCdInCo, relaxed, DFT GGA-PBE" volume_a3_per_atom=17.88 e_above_lowest_polymorph_mev_per_atom=0 space_group="No. 216" pbc="T T T"
Hf 0.000 0.000 0.000
Hf 0.000 3.295 3.295
Hf 3.295 0.000 3.295
Hf 3.295 3.295 0.000
Cd 1.647 1.647 1.647
Cd 1.647 4.942 4.942
Cd 4.942 1.647 4.942
Cd 4.942 4.942 1.647
In 0.000 0.000 3.295
In 0.000 3.295 0.000
In 3.295 0.000 0.000
In 3.295 3.295 3.295
Co 1.647 1.647 4.942
Co 1.647 4.942 1.647
Co 4.942 1.647 1.647
Co 4.942 4.942 4.942

5.
12
Lattice="7.577 0.000 0.000 0.000 7.577 0.000 0.000 0.000 7.577" Properties=species:S:1:pos:R:3 comment="AcHoTe, relaxed, DFT GGA-PBE" volume_a3_per_atom=36.25 e_above_lowest_polymorph_mev_per_atom=0 space_group="No. 216" pbc="T T T"
Ac 0.000 0.000 0.000
Ac 0.000 3.788 3.788
Ac 3.788 0.000 3.788
Ac 3.788 3.788 0.000
Ho 0.000 0.000 3.788
Ho 0.000 3.788 0.000
Ho 3.788 0.000 0.000
Ho 3.788 3.788 3.788
Te 1.894 1.894 1.894
Te 1.894 5.683 5.683
Te 5.683 1.894 5.683
Te 5.683 5.683 1.894

6.
8
Lattice="4.177 0.000 0.000 0.000 8.147 0.000 0.000 0.000 5.684" Properties=species:S:1:pos:R:3 comment="PrYAsO, relaxed, DFT GGA-PBE" volume_a3_per_atom=24.17 e_above_lowest_polymorph_mev_per_atom=62 space_group="No. 26" pbc="T T T"
Pr 0.000 1.005 0.000
Pr 0.000 7.142 2.842
Y 2.088 2.370 2.657
Y 2.088 5.777 5.499
As 2.088 2.933 5.472
As 2.088 5.214 2.630
O 0.000 1.419 2.464
O 0.000 6.728 5.306

7.
65
Lattice="7.738 4.468 6.322 -7.738 4.468 6.322 0.000 -8.935 6.322" Properties=species:S:1:pos:R:3 comment="Si64Ni, relaxed, DFT GGA-PBE" volume_a3_per_atom=20.18 dft_energy_ev_per_atom=-5.418 space_group="No. 166" pbc="T T T"
Si -3.865 -4.474 9.071
Si -5.807 -1.110 9.071
Si 0.000 -2.250 2.778
Si -1.931 -3.354 5.939
Si -1.949 1.125 2.778
Si -3.870 0.004 5.939
Si 0.000 -6.647 5.907
Si -5.756 3.323 5.907
Si -3.871 -2.235 9.843
Si 0.000 0.000 3.530
Si -1.929 -1.114 6.710
Si -1.942 -5.584 9.895
Si -5.807 1.110 9.895
Si 0.000 -4.456 6.758
Si -3.859 2.228 6.758
Si -5.756 -3.323 13.059
Si 0.000 0.000 5.905
Si -3.859 -2.228 12.207
Si -1.930 -1.114 9.080
Si 1.931 -3.354 5.939
Si -1.939 3.349 5.939
Si 1.949 1.125 2.778
Si 0.000 -4.470 9.122
Si -3.871 2.235 9.122
Si 1.929 -1.114 6.710
Si 0.000 2.228 6.710
Si -1.939 -3.349 13.027
Si -3.870 -0.004 13.027
Si 0.000 -2.229 9.886
Si -1.930 1.114 9.886
Si 1.942 -5.584 9.895
Si -3.865 4.474 9.895
Si 3.865 -4.474 9.071
Si -1.942 5.584 9.071
Si 1.930 -1.114 9.080
Si 0.000 2.229 9.080
Si 3.870 0.004 5.939
Si 1.939 3.349 5.939
Si 0.000 -2.228 12.256
Si -1.929 1.114 12.256
Si 3.871 -2.235 9.843
Si 0.000 4.470 9.843
Si -1.949 -1.125 16.187
Si 1.939 -3.349 13.027
Si -1.931 3.354 13.027
Si 1.930 1.114 9.886
Si 3.859 2.228 6.758
Si 0.000 0.000 13.061
Si 5.756 3.323 5.907
Si 3.859 -2.228 12.207
Si 0.000 4.456 12.207
Si 5.807 -1.110 9.071
Si 1.942 5.584 9.071
Si 1.929 1.114 12.256
Si 0.000 0.000 15.436
Si 3.871 2.235 9.122
Si 5.756 -3.323 13.059
Si 0.000 6.647 13.059
Si 3.870 -0.004 13.027
Si 1.949 -1.125 16.187
Si 1.931 3.354 13.027
Si 0.000 2.250 16.187
Si 5.807 1.110 9.895
Si 3.865 4.474 9.895
Ni 0.000 0.000 0.000

8.
10
Lattice="5.855 0.000 0.000 2.900 5.127 0.000 2.881 1.705 4.865" Properties=species:S:1:pos:R:3 comment="Sr2TbSnO6, relaxed, DFT GGA-PBE" volume_a3_per_atom=14.60 dft_energy_ev_per_atom=-6.657 space_group="No. 2" pbc="T T T"
Sr 2.885 1.726 1.301
Sr 8.751 5.106 3.564
Tb 0.000 0.000 0.000
Sn 5.818 3.416 2.432
O 4.068 2.846 3.362
O 5.572 5.279 3.287
O 4.729 4.088 0.794
O 6.907 2.744 4.071
O 6.065 1.554 1.578
O 7.568 3.987 1.503

9.
16
Lattice="7.723 0.000 0.000 0.000 9.871 0.000 -0.035 0.000 5.798" Properties=species:S:1:pos:R:3 comment="K4AgP2Pd, relaxed, DFT GGA-PBE" volume_a3_per_atom=27.63 dft_energy_ev_per_atom=-3.248 space_group="No. 12" pbc="T T T"
K 1.099 1.692 1.428
K 1.099 8.179 1.428
K 2.727 3.244 4.370
K 2.727 6.628 4.370
K 4.961 3.244 1.428
K 4.961 6.628 1.428
K 6.589 1.692 4.370
K 6.589 8.179 4.370
Ag -0.017 4.936 2.899
Ag 3.844 0.000 2.899
P 1.902 0.000 4.401
P 1.925 4.936 1.397
P 5.786 0.000 1.397
P 5.763 4.936 4.401
Pd 0.000 4.936 0.000
Pd 3.861 0.000 0.000

10.
16
Lattice="7.429 0.000 0.000 0.000 7.429 0.000 0.000 0.000 7.429" Properties=species:S:1:pos:R:3 comment="BaNaTaPt, relaxed, DFT GGA-PBE" volume_a3_per_atom=25.63 e_above_lowest_polymorph_mev_per_atom=423 space_group="No. 216" pbc="T T T"
Ba 0.000 0.000 0.000
Ba 0.000 3.715 3.715
Ba 3.715 0.000 3.715
Ba 3.715 3.715 0.000
Na 0.000 0.000 3.715
Na 0.000 3.715 0.000
Na 3.715 0.000 0.000
Na 3.715 3.715 3.715
Ta 1.857 1.857 1.857
Ta 1.857 5.572 5.572
Ta 5.572 1.857 5.572
Ta 5.572 5.572 1.857
Pt 1.857 1.857 5.572
Pt 1.857 5.572 1.857
Pt 5.572 1.857 1.857
Pt 5.572 5.572 5.572

11.
9
Lattice="3.997 0.000 0.000 0.000 6.707 3.874 0.000 -6.707 3.874" Properties=species:S:1:pos:R:3 comment="Tb2DyIn3Ag2Pt, relaxed, DFT GGA-PBE" volume_a3_per_atom=23.08 dft_energy_ev_per_atom=-4.353 space_group="No. 38" pbc="T T T"
Tb 0.000 -4.042 3.874
Tb 0.000 4.042 3.874
Dy 0.000 0.000 4.613
In 1.999 -1.725 2.537
In 1.999 1.725 2.537
In 1.999 0.000 7.296
Ag 1.999 -2.229 5.412
Ag 1.999 2.229 5.412
Pt 0.000 0.000 1.545

12.
16
Lattice="7.169 0.000 0.000 0.000 7.169 0.000 0.000 0.000 7.169" Properties=species:S:1:pos:R:3 comment="LuCuHgBi, relaxed, DFT GGA-PBE" volume_a3_per_atom=23.03 e_above_lowest_polymorph_mev_per_atom=0 space_group="No. 216" pbc="T T T"
Lu 0.000 0.000 0.000
Lu 0.000 3.584 3.584
Lu 3.584 0.000 3.584
Lu 3.584 3.584 0.000
Cu 0.000 0.000 3.584
Cu 0.000 3.584 0.000
Cu 3.584 0.000 0.000
Cu 3.584 3.584 3.584
Hg 1.792 1.792 1.792
Hg 1.792 5.377 5.377
Hg 5.377 1.792 5.377
Hg 5.377 5.377 1.792
Bi 1.792 1.792 5.377
Bi 1.792 5.377 1.792
Bi 5.377 1.792 1.792
Bi 5.377 5.377 5.377

13.
14
Lattice="11.336 0.000 0.000 0.000 3.399 0.000 -1.726 0.000 5.448" Properties=species:S:1:pos:R:3 comment="GdHoMo2C3, relaxed, DFT GGA-PBE" volume_a3_per_atom=14.99 dft_energy_ev_per_atom=-8.684 space_group="No. 8" pbc="T T T"
Gd 0.000 0.000 0.000
Gd 5.668 1.699 0.000
Ho 1.458 0.000 3.502
Ho 7.126 1.699 3.502
Mo 2.642 1.699 1.082
Mo 4.473 0.000 2.437
Mo 8.310 0.000 1.082
Mo 10.141 1.699 2.437
C 0.729 1.699 1.776
C 3.714 0.000 0.437
C 3.378 1.699 3.063
C 6.397 0.000 1.776
C 9.382 1.699 0.437
C 9.046 0.000 3.063

14.
20
Lattice="6.119 0.000 0.000 0.000 8.602 0.000 0.000 0.000 5.831" Properties=species:S:1:pos:R:3 comment="GdBiO3, relaxed, DFT GGA-PBE" volume_a3_per_atom=15.35 dft_energy_ev_per_atom=-6.932 space_group="No. 62" pbc="T T T"
Gd 0.329 2.151 0.090
Gd 2.730 6.452 3.005
Gd 3.389 2.151 2.826
Gd 5.790 6.452 5.741
Bi 0.000 0.000 2.915
Bi 0.000 4.301 2.915
Bi 3.059 0.000 0.000
Bi 3.059 4.301 0.000
O 0.615 6.452 1.934
O 1.097 5.019 4.816
O 1.097 7.885 4.816
O 1.962 0.718 1.901
O 1.962 3.584 1.901
O 2.444 2.151 4.849
O 3.675 6.452 0.982
O 4.157 5.019 3.930
O 4.157 7.885 3.930
O 5.022 0.718 1.015
O 5.022 3.584 1.015
O 5.504 2.151 3.897

15.
12
Lattice="8.807 0.000 0.000 0.000 4.561 0.000 -3.055 0.000 10.825" Properties=species:S:1:pos:R:3 comment="PrCdInTe3, relaxed, DFT GGA-PBE" volume_a3_per_atom=36.24 e_above_lowest_polymorph_mev_per_atom=19 space_group="No. 11" pbc="T T T"
Pr 1.289 1.140 1.510
Pr 4.463 3.421 9.315
Cd 2.511 3.421 4.228
Cd 3.241 1.140 6.597
In -0.056 3.421 7.755
In 5.808 1.140 3.070
Te -2.087 1.140 9.187
Te 0.835 1.140 4.844
Te 3.545 3.421 1.589
Te 2.208 1.140 9.236
Te 4.918 3.421 5.981
Te 7.840 3.421 1.638

16.
9
Lattice="4.514 0.000 0.000 0.000 6.334 3.675 0.000 -6.334 3.675" Properties=species:S:1:pos:R:3 comment="Tb2TmTlCd3Ga2, relaxed, DFT GGA-PBE" volume_a3_per_atom=23.35 dft_energy_ev_per_atom=-3.201 space_group="No. 38" pbc="T T T"
Tb 0.000 -3.589 3.675
Tb 0.000 3.589 3.675
Tm 0.000 0.000 2.559
Tl 0.000 0.000 5.730
Cd 2.257 0.000 0.317
Cd 2.257 -1.653 4.795
Cd 2.257 1.653 4.795
Ga 2.257 -2.094 2.081
Ga 2.257 2.094 2.081

17.
8
Lattice="6.687 0.000 0.000 0.000 6.687 0.000 0.000 0.000 6.687" Properties=species:S:1:pos:R:3 comment="KPa, relaxed, DFT GGA-PBE" volume_a3_per_atom=37.37 e_above_lowest_polymorph_mev_per_atom=1546 space_group="No. 225" pbc="T T T"
K 0.000 0.000 0.000
K 0.000 3.343 3.343
K 3.343 0.000 3.343
K 3.343 3.343 0.000
Pa 0.000 0.000 3.343
Pa 0.000 3.343 0.000
Pa 3.343 0.000 0.000
Pa 3.343 3.343 3.343

18.
16
Lattice="4.529 0.000 0.000 0.000 3.299 0.000 0.000 0.000 17.396" Properties=species:S:1:pos:R:3 comment="Zr4AgAuO2, relaxed, DFT GGA-PBE" volume_a3_per_atom=16.24 dft_energy_ev_per_atom=-7.633 space_group="No. 38" pbc="T T T"
Zr 0.000 0.000 0.000
Zr 0.000 0.000 3.243
Zr 0.000 1.650 8.698
Zr 0.000 1.650 11.941
Zr 2.264 0.000 6.842
Zr 2.264 0.000 10.099
Zr 2.264 1.650 1.401
Zr 2.264 1.650 15.541
Ag 0.000 0.000 14.533
Ag 0.000 1.650 5.835
Au 2.264 0.000 12.956
Au 2.264 1.650 4.258
O 0.000 0.000 10.318
O 0.000 1.650 1.620
O 2.264 0.000 17.171
O 2.264 1.650 8.473

19.
24
Lattice="4.943 -2.854 0.000 4.943 2.854 0.000 -3.342 0.000 14.732" Properties=species:S:1:pos:R:3 comment="Hf2Sc4Al3C3, relaxed, DFT GGA-PBE" volume_a3_per_atom=17.32 dft_energy_ev_per_atom=-7.548 space_group="No. 15" pbc="T T T"
Hf 2.423 2.365 8.558
Hf 2.449 2.365 13.540
Hf 4.094 -2.365 1.192
Hf 4.121 -2.365 6.174
Sc 2.489 0.491 1.289
Sc 2.452 0.451 6.078
Sc 0.818 -0.491 8.655
Sc 0.781 -0.451 13.444
Sc 5.762 0.451 1.288
Sc 5.725 0.491 6.077
Sc 4.091 -0.451 8.654
Sc 4.054 -0.491 13.443
Al -1.037 0.377 11.047
Al 0.634 -0.377 3.681
Al 2.436 0.674 11.049
Al 4.107 -0.674 3.683
Al 5.909 0.377 11.051
Al 7.580 -0.377 3.685
C 0.800 1.427 7.366
C 4.145 1.473 0.000
C 4.069 1.473 7.366
C 2.471 -1.427 0.000
C 2.474 -1.473 7.366
C 5.740 -1.473 0.000

20.
12
Lattice="7.233 0.000 0.000 0.000 7.233 0.000 0.000 0.000 7.233" Properties=species:S:1:pos:R:3 comment="DyMgPb, relaxed, DFT GGA-PBE" volume_a3_per_atom=31.53 dft_energy_ev_per_atom=-3.217 space_group="No. 216" pbc="T T T"
Dy 0.000 0.000 0.000
Dy 0.000 3.617 3.617
Dy 3.617 0.000 3.617
Dy 3.617 3.617 0.000
Mg 1.808 1.808 5.425
Mg 1.808 5.425 1.808
Mg 5.425 1.808 1.808
Mg 5.425 5.425 5.425
Pb 1.808 1.808 1.808
Pb 1.808 5.425 5.425
Pb 5.425 1.808 5.425
Pb 5.425 5.425 1.808